Record 1
Material: Y2TlRhC
Method: DFT, PBE
State: relaxed

Summary:
size of the total moment = 0.0 μB per cell
energy relative to the elements = -0.43 eV per atom

Cell lengths 5.064, 5.064, 3.985 Å; angles 90.00, 90.00, 90.00 degrees
Space group P4/mmm (No. 123)
One atom of each set of equivalent atoms:
Y: 0.000 0.500 0.000 [2 per cell]
Tl: 0.000 0.000 0.500 [1 per cell]
Rh: 0.500 0.500 0.500 [1 per cell]
C: 0.500 0.500 0.000 [1 per cell]

***

Record 2
Material: SbPbS2
Method: DFT, PBE
State: relaxed

Summary:
size of the total moment = 0.0 μB per cell
ΔE_f (raw) = -0.23 eV per atom

Cell lengths 4.397, 3.833, 11.916 Å; angles 90.00, 90.00, 90.00 degrees
Space group Amm2 (No. 38)
One atom of each set of equivalent atoms:
Sb: 0.000 0.000 0.000 [2 per cell]
Pb: 0.500 0.000 0.751 [2 per cell]
S: 0.000 0.000 0.213 [2 per cell]
S: 0.500 0.000 0.509 [2 per cell]

***

Record 3
Material: MgInSn2Bi
Method: DFT, PBE
State: relaxed

Summary:
size of the total moment = 0.0 μB per cell
energy relative to the elements = 0.07 eV per atom

Cell lengths 6.385, 14.759, 6.228 Å; angles 90.00, 90.00, 90.00 degrees
Space group Cmcm (No. 63)
One atom of each set of equivalent atoms:
Mg: 0.000 0.143 0.250 [4 per cell]
In: 0.000 0.338 0.250 [4 per cell]
Sn: 0.242 0.500 0.000 [8 per cell]
Bi: 0.000 0.197 0.750 [4 per cell]

***

Record 4
Material: TaC3O
Method: DFT, PBE
State: relaxed

Summary:
size of the total moment = 0.0 μB per cell
ΔE_f (raw) = 2.13 eV per atom
excess energy over the best structure of this formula in the dataset = 0.000 eV per formula unit

Cell lengths 3.529, 3.529, 3.529 Å; angles 90.00, 90.00, 90.00 degrees
Space group Pm-3m (No. 221)
One atom of each set of equivalent atoms:
Ta: 0.000 0.000 0.000 [1 per cell]
C: 0.000 0.500 0.500 [3 per cell]
O: 0.500 0.500 0.500 [1 per cell]

***

Record 5
Material: InAsBr2O
Method: DFT, PBE
State: relaxed

Summary:
size of the total moment = 3.4 μB per cell
ΔE_f (raw) = 0.63 eV per atom
excess energy over the best structure of this formula in the dataset = 3.493 eV per formula unit

Cell lengths 5.509, 5.509, 5.440 Å; angles 90.00, 90.00, 90.00 degrees
Space group P4/mmm (No. 123)
One atom of each set of equivalent atoms:
In: 0.000 0.000 0.000 [1 per cell]
As: 0.000 0.000 0.500 [1 per cell]
Br: 0.000 0.500 0.000 [2 per cell]
O: 0.500 0.500 0.500 [1 per cell]

***

Record 6
Material: Cs4BiI5
Method: DFT, PBE
State: relaxed

Summary:
size of the total moment = 0.0 μB per cell
ΔE_f (raw) = -1.12 eV per atom

Cell lengths 10.908, 10.908, 10.690 Å; angles 90.00, 90.00, 90.00 degrees
Space group I4 (No. 79)
One atom of each set of equivalent atoms:
Cs: 0.103 0.287 0.000 [8 per cell]
Bi: 0.000 0.000 0.653 [2 per cell]
I: 0.000 0.000 0.163 [2 per cell]
I: 0.084 0.282 0.645 [8 per cell]